No. 1
CeNdZr | GGA-PBE | relaxed

Cell: 3.874 3.874 11.455 Å, 90.00 90.00 90.00°
Positions (direct):
Ce (0.250, 0.250, 0.052)
Ce (0.750, 0.750, 0.948)
Nd (0.250, 0.250, 0.730)
Nd (0.750, 0.750, 0.270)
Zr (0.250, 0.250, 0.444)
Zr (0.750, 0.750, 0.556)

***

No. 2
CeNd2Zr | GGA-PBE | relaxed

Cell: 12.221 12.221 12.221 Å, 15.92 15.92 15.92°
Positions (direct):
Ce (0.000, 0.000, 0.000)
Nd (0.413, 0.413, 0.413)
Nd (0.587, 0.587, 0.587)
Zr (0.500, 0.500, 0.500)

***

No. 3
CeNdZr | GGA-PBE | relaxed

Cell: 7.955 7.955 7.955 Å, 155.70 155.70 34.64°
Positions (direct):
Ce (0.000, 0.000, 0.000)
Nd (0.318, 0.318, 0.000)
Zr (0.654, 0.654, 0.000)

***

No. 4
CeNd2Zr | GGA-PBE | relaxed

Cell: 11.696 11.696 11.696 Å, 17.04 17.04 17.04°
Positions (direct):
Ce (0.000, 0.000, 0.000)
Nd (0.579, 0.579, 0.579)
Nd (0.755, 0.755, 0.755)
Zr (0.168, 0.168, 0.168)

***

No. 5
CeNi11 | GGA-PBE | relaxed

Cell: 7.591 7.591 7.591 Å, 99.78 99.78 131.33°
Positions (direct):
Ce (0.375, 0.625, 0.750)
Ce (0.625, 0.375, 0.250)
Ni (0.000, 0.000, 0.000)
Ni (0.000, 0.000, 0.500)
Ni (0.000, 0.500, 0.000)
Ni (0.125, 0.875, 0.250)
Ni (0.135, 0.558, 0.331)
Ni (0.135, 0.804, 0.577)
Ni (0.196, 0.272, 0.331)
Ni (0.196, 0.865, 0.923)
Ni (0.272, 0.196, 0.831)
Ni (0.272, 0.442, 0.077)
Ni (0.442, 0.272, 0.577)
Ni (0.442, 0.865, 0.169)
Ni (0.500, 0.000, 0.500)
Ni (0.558, 0.135, 0.831)
Ni (0.558, 0.728, 0.423)
Ni (0.728, 0.558, 0.923)
Ni (0.728, 0.804, 0.169)
Ni (0.804, 0.135, 0.077)
Ni (0.804, 0.728, 0.669)
Ni (0.865, 0.196, 0.423)
Ni (0.865, 0.442, 0.669)
Ni (0.875, 0.125, 0.750)

***

No. 6
Ce3Ni | GGA-PBE | relaxed

Cell: 3.163 3.209 9.074 Å, 90.00 90.00 90.00°
Positions (direct):
Ce (0.000, 0.000, 0.000)
Ce (0.000, 0.500, 0.284)
Ce (0.500, 0.500, 0.714)
Ni (0.500, 0.000, 0.474)

***

| no. | ΔE_f (eV per atom) |
| --- | --- |
| 1 | 0.17 |
| 2 | 0.34 |
| 3 | 0.14 |
| 4 | 0.17 |
| 5 | -0.12 |
| 6 | 0.06 |